Record 1
A plane-wave DFT calculation with PBE-GGA was carried out for a geometry-optimized ZnSe3 structure.

Cell: 4.829 4.829 3.394 Å, 90.00 90.00 90.00°
Space group P4/mmm (No. 123)
Unique sites:
Zn: 0.000 0.000 0.000
Se: 0.000 0.500 0.500
Se: 0.500 0.500 0.000

Values from the calculation:
* ΔE_f (raw): 0.3498 eV/atom
* DFT total energy: -2.58 eV per atom
* total moment: 0.00 μB per formula unit

=====

Record 2
A plane-wave DFT calculation with PBE-GGA was carried out for a geometry-optimized AgSnPt4 structure.

Cell: 7.592 7.592 7.592 Å, 90.00 90.00 90.00°
Space group F-43m (No. 216)
Unique sites:
Ag: 0.000 0.000 0.000
Sn: 0.250 0.250 0.250
Pt: 0.125 0.125 0.625

Values from the calculation:
* DFT total energy: -5.25 eV per atom
* total moment: 0.00 μB per formula unit
* energy of formation from the pure elements: -0.081 eV/atom

=====

Record 3
A plane-wave DFT calculation with PBE-GGA was carried out for a geometry-optimized BaCuSb2Pd structure.

Cell: 4.715 4.715 11.297 Å, 90.00 90.00 90.00°
Space group I-4m2 (No. 119)
Unique sites:
Ba: 0.000 0.000 0.000
Cu: 0.000 0.500 0.750
Sb: 0.000 0.000 0.365
Pd: 0.000 0.500 0.250

Values from the calculation:
* ΔE_f (raw): -0.6129 eV/atom
* DFT total energy: -4.50 eV per atom
* energy above the most stable polymorph in this dataset: 0.000 eV per atom
* total moment: 0.00 μB per formula unit